The following is a DFT calculation (GGA-PBE) of a relaxed structure of Y2AlSi4Pd3.

Cell: 3.993 3.993 10.914 Å, 90.00 90.00 90.00°
Positions (direct):
Y  0.000  0.500  0.246
Y  0.500  0.000  0.754
Al  0.500  0.500  0.000
Si  0.000  0.000  0.500
Si  0.000  0.500  0.854
Si  0.500  0.000  0.146
Si  0.500  0.500  0.500
Pd  0.000  0.000  0.000
Pd  0.000  0.500  0.633
Pd  0.500  0.000  0.367

Its total energy is -6.218 eV/atom. As for the magnetic moment: 0.00 Bohr magnetons per cell. For the formation energy from raw total energies, the calculation gives -0.82 eV per atom. The mass density is 6073 kg/m³.